1.
Below is an optimized crystal structure of Ce2ErP3Rh4, with properties calculated at the GGA-PBE level.

Cell lengths 3.9883, 3.9883, 11.2661 Å; angles 90.00, 90.00, 90.00 degrees
Closest atoms and distances in Å follow each position.
Fractional coordinates of all 10 atoms:
1 Ce 0.5000 0.0000 0.2257  4 P 3.05, 8 Rh 3.06-3.23
2 Ce 0.0000 0.5000 0.7743  4 P 3.05, 8 Rh 3.06-3.23
3 Er 0.5000 0.5000 0.5000  4 Rh 2.76, 4 P 2.82
4 P 0.0000 0.0000 0.5000  4 Rh 2.76, 4 Er 2.82
5 P 0.5000 0.0000 0.8769  5 Rh 2.34-2.43
6 P 0.0000 0.5000 0.1231  5 Rh 2.34-2.43
7 Rh 0.5000 0.5000 0.0000  4 P 2.43
8 Rh 0.0000 0.0000 0.0000  4 P 2.43
9 Rh 0.5000 0.0000 0.6688  1 P 2.34
10 Rh 0.0000 0.5000 0.3312  1 P 2.34

**Final energy**: -7.2871 eV/atom
**Total moment**: 0.09 μB/atom
**ΔH_f (0 K)**: -1.08 eV/atom
**Volume**: 17.9 Å³/atom


2.
Below is an optimized crystal structure of Ce2ErSc3P6, with properties calculated at the GGA-PBE level.

Cell lengths 6.7745, 6.7745, 6.7232 Å; angles 99.67, 99.67, 120.00 degrees
Closest atoms and distances in Å follow each position.
Fractional coordinates of all 12 atoms:
1 Ce 0.3335 0.6665 0.0000  6 P 2.82-2.83
2 Ce 0.6665 0.3335 0.0000  6 P 2.82-2.83
3 Er 0.0000 0.0000 0.0000  6 P 2.80-2.81
4 Sc 0.1671 0.8329 0.5000  6 P 2.69-2.71
5 Sc 0.8329 0.1671 0.5000  6 P 2.69-2.71
6 Sc 0.5000 0.5000 0.5000  6 P 2.70-2.71
7 P 0.9116 0.5803 0.7344  3 Sc 2.70-2.71, 1 Er 2.80, 2 Ce 2.82
8 P 0.7581 0.7581 0.2673  3 Sc 2.69-2.71, 1 Er 2.81, 2 Ce 2.83
9 P 0.0884 0.4197 0.2656  3 Sc 2.70-2.71, 1 Er 2.80, 2 Ce 2.82
10 P 0.5803 0.9116 0.7344  3 Sc 2.70-2.71, 1 Er 2.80, 2 Ce 2.82
11 P 0.2419 0.2419 0.7327  3 Sc 2.69-2.71, 1 Er 2.81, 2 Ce 2.83
12 P 0.4197 0.0884 0.2656  3 Sc 2.70-2.71, 1 Er 2.80, 2 Ce 2.82

**Final energy**: -7.1585 eV/atom
**Total moment**: 0.05 μB/atom
**ΔH_f (0 K)**: -1.50 eV/atom
**Volume**: 21.0 Å³/atom